{"formula": "UAl11", "functional": "PBE", "state": "relaxed", "cell": [[-1.2427, -0.1290, 7.0461], [-8.0989, -1.3121, 2.1814], [0.6313, -7.6602, 3.6049]], "species": ["U", "U", "Al", "Al", "Al", "Al", "Al", "Al", "Al", "Al", "Al", "Al", "Al", "Al", "Al", "Al", "Al", "Al", "Al", "Al", "Al", "Al", "Al", "Al"], "fractional_positions": [[0.5000, 0.0000, 0.0000], [0.2500, 0.5000, 0.5000], [0.4304, 0.8265, 0.4150], [0.6719, 0.1735, 0.5850], [0.0000, 0.0000, 0.0000], [0.7500, 0.5000, 0.5000], [0.3750, 0.7500, 0.7500], [0.8750, 0.7500, 0.2500], [0.8750, 0.2500, 0.7500], [0.8750, 0.2500, 0.2500], [0.4304, 0.4150, 0.8265], [0.0069, 0.6735, 0.9150], [0.5954, 0.3265, 0.0850], [0.6719, 0.5850, 0.1735], [0.7431, 0.5850, 0.8265], [0.1546, 0.4150, 0.1735], [0.0781, 0.3265, 0.9150], [0.3196, 0.6735, 0.0850], [0.3196, 0.0850, 0.6735], [0.7431, 0.8265, 0.5850], [0.1546, 0.1735, 0.4150], [0.0781, 0.9150, 0.3265], [0.0069, 0.9150, 0.6735], [0.5954, 0.0850, 0.3265]], "n_ef_per_ev_cell": 23.2, "energy_ev_per_cell": -103.81, "formation_energy_ev_per_atom": 0.05}